(1)
Here is a relaxed NaBrF3 crystal from Alexandria. Energies are from PBE.

Calculated values
The energy above the lowest structure with this stoichiometry comes out at 0.3872 eV/atom. As for the space group: Pm-3m (221).

Cell lengths 4.5440, 4.5440, 4.5440 Å; angles 90.00, 90.00, 90.00 degrees
Fractional positions:
Na 0.0000 0.0000 0.0000
Br 0.5000 0.5000 0.5000
F 0.0000 0.5000 0.5000
F 0.5000 0.0000 0.5000
F 0.5000 0.5000 0.0000

(2)
Here is a relaxed ZnCd5 crystal from Alexandria. Energies are from PBE.

Calculated values
The calculation puts the energy of formation from the pure elements at 0.16 eV/atom. The energy above the lowest structure with this stoichiometry comes out at 0.1368 eV/atom. As for the space group: F-43m (216).

Cell lengths 5.8051, 5.8051, 5.8051 Å; angles 60.00, 60.00, 60.00 degrees
Fractional positions:
Zn 0.0000 0.0000 0.0000
Cd 0.1248 0.6251 0.6251
Cd 0.2500 0.2500 0.2500
Cd 0.6251 0.1248 0.6251
Cd 0.6251 0.6251 0.1248
Cd 0.6251 0.6251 0.6251

(3)
Here is a relaxed Tm5Pd2Pt2 crystal from Alexandria. Energies are from PBE.

Calculated values
The calculation puts the energy of formation from the pure elements at -1.02 eV/atom. As for the space group: Cmce (64).

Cell lengths 8.1783, 8.1783, 7.5804 Å; angles 90.00, 90.00, 53.97 degrees
Fractional positions:
Tm 0.0000 0.0000 0.0000
Tm 0.0343 0.6934 0.6669
Tm 0.1934 0.5343 0.1669
Tm 0.3066 0.9657 0.6669
Tm 0.4657 0.8066 0.1669
Tm 0.5000 0.5000 0.5000
Tm 0.5343 0.1934 0.8331
Tm 0.6934 0.0343 0.3331
Tm 0.8066 0.4657 0.8331
Tm 0.9657 0.3066 0.3331
Pd 0.2035 0.2035 0.0000
Pd 0.2965 0.2965 0.5000
Pd 0.7035 0.7035 0.5000
Pd 0.7965 0.7965 0.0000
Pt 0.1336 0.8664 0.3659
Pt 0.3664 0.6336 0.8659
Pt 0.6336 0.3664 0.1341
Pt 0.8664 0.1336 0.6341

(4)
Here is a relaxed CaZnO2F crystal from Alexandria. Energies are from PBE.

Calculated values
As for the space group: P4/mmm (123).

Cell lengths 4.3913, 4.3913, 4.2277 Å; angles 90.00, 90.00, 90.00 degrees
Fractional positions:
Ca 0.0000 0.0000 0.0000
Zn 0.5000 0.5000 0.5000
O 0.0000 0.5000 0.0000
O 0.5000 0.0000 0.0000
F 0.0000 0.0000 0.5000

(5)
Here is a relaxed Al2InCl crystal from Alexandria. Energies are from PBE.

Calculated values
The energy above the lowest structure with this stoichiometry comes out at 0.2636 eV/atom. As for the space group: Pmmm (47).

Cell lengths 3.1769, 5.0239, 5.6701 Å; angles 90.00, 90.00, 90.00 degrees
Fractional positions:
Al 0.0000 0.0000 0.2486
Al 0.0000 0.0000 0.7514
In 0.5000 0.5000 0.0000
Cl 0.5000 0.5000 0.5000

(6)
Here is a relaxed MgZrTl2 crystal from Alexandria. Energies are from PBE.

Calculated values
The calculation puts the energy of formation from the pure elements at 0.05 eV/atom. As for the space group: Cmmm (65).

Cell lengths 3.3991, 5.7143, 10.1562 Å; angles 90.00, 90.00, 90.00 degrees
Fractional positions:
Mg 0.0000 0.0000 0.0000
Mg 0.5000 0.5000 0.0000
Zr 0.0000 0.0000 0.5000
Zr 0.5000 0.5000 0.5000
Tl 0.0000 0.5000 0.2460
Tl 0.0000 0.5000 0.7540
Tl 0.5000 0.0000 0.2460
Tl 0.5000 0.0000 0.7540

(7)
Here is a relaxed BeHg2PbAu crystal from Alexandria. Energies are from PBE.

Calculated values
The calculation puts the energy of formation from the pure elements at 0.30 eV/atom. As for the space group: P4/mmm (123).

Cell lengths 4.6991, 4.6991, 5.3702 Å; angles 90.00, 90.00, 90.00 degrees
Fractional positions:
Be 0.0000 0.0000 0.0000
Hg 0.0000 0.5000 0.0000
Hg 0.5000 0.0000 0.0000
Pb 0.0000 0.0000 0.5000
Au 0.5000 0.5000 0.5000

(8)
Here is a relaxed PrZrPdAu crystal from Alexandria. Energies are from PBE.

Calculated values
The calculation puts the energy of formation from the pure elements at -0.49 eV/atom. As for the space group: F-43m (216).

Cell lengths 7.0989, 7.0989, 7.0989 Å; angles 90.00, 90.00, 90.00 degrees
Fractional positions:
Pr 0.0000 0.0000 0.0000
Pr 0.0000 0.5000 0.5000
Pr 0.5000 0.0000 0.5000
Pr 0.5000 0.5000 0.0000
Zr 0.0000 0.0000 0.5000
Zr 0.0000 0.5000 0.0000
Zr 0.5000 0.0000 0.0000
Zr 0.5000 0.5000 0.5000
Pd 0.2500 0.2500 0.7500
Pd 0.2500 0.7500 0.2500
Pd 0.7500 0.2500 0.2500
Pd 0.7500 0.7500 0.7500
Au 0.2500 0.2500 0.2500
Au 0.2500 0.7500 0.7500
Au 0.7500 0.2500 0.7500
Au 0.7500 0.7500 0.2500

(9)
Here is a relaxed Dy2Be3Cu17 crystal from Alexandria. Energies are from PBE.

Calculated values
The calculation puts the energy of formation from the pure elements at 0.10 eV/atom. As for the space group: R-3m (166).

Cell lengths 6.7155, 6.7155, 6.7155 Å; angles 84.08, 84.08, 84.08 degrees
Fractional positions:
Dy 0.1700 0.1700 0.1700
Dy 0.8300 0.8300 0.8300
Be 0.0000 0.0000 0.5000
Be 0.0000 0.5000 0.0000
Be 0.5000 0.0000 0.0000
Cu 0.0000 0.5000 0.5000
Cu 0.1645 0.1645 0.6678
Cu 0.1645 0.6678 0.1645
Cu 0.2298 0.5000 0.7702
Cu 0.2298 0.7702 0.5000
Cu 0.3322 0.8355 0.8355
Cu 0.4030 0.4030 0.4030
Cu 0.5000 0.0000 0.5000
Cu 0.5000 0.2298 0.7702
Cu 0.5000 0.5000 0.0000
Cu 0.5000 0.7702 0.2298
Cu 0.5970 0.5970 0.5970
Cu 0.6678 0.1645 0.1645
Cu 0.7702 0.2298 0.5000
Cu 0.7702 0.5000 0.2298
Cu 0.8355 0.3322 0.8355
Cu 0.8355 0.8355 0.3322

(10)
Here is a relaxed FeNi2H crystal from Alexandria. Energies are from PBE.

Calculated values
The energy above the lowest structure with this stoichiometry comes out at 0.1952 eV/atom. As for the space group: R-3m (166).

Cell lengths 2.5005, 2.5005, 21.5541 Å; angles 90.00, 90.00, 120.00 degrees
Fractional positions:
Fe 0.0000 0.0000 0.0000
Fe 0.3333 0.6667 0.6667
Fe 0.6667 0.3333 0.3333
Ni 0.0000 0.0000 0.4277
Ni 0.0000 0.0000 0.5723
Ni 0.3333 0.6667 0.0944
Ni 0.3333 0.6667 0.2390
Ni 0.6667 0.3333 0.7610
Ni 0.6667 0.3333 0.9056
H 0.0000 0.0000 0.5000
H 0.3333 0.6667 0.1667
H 0.6667 0.3333 0.8333

(11)
Here is a relaxed UMnGaCo crystal from Alexandria. Energies are from PBE.

Calculated values
The calculation puts the energy of formation from the pure elements at -0.07 eV/atom. As for the space group: F-43m (216).

Cell lengths 6.2118, 6.2118, 6.2118 Å; angles 90.00, 90.00, 90.00 degrees
Fractional positions:
U 0.0000 0.0000 0.0000
U 0.0000 0.5000 0.5000
U 0.5000 0.0000 0.5000
U 0.5000 0.5000 0.0000
Mn 0.2500 0.2500 0.2500
Mn 0.2500 0.7500 0.7500
Mn 0.7500 0.2500 0.7500
Mn 0.7500 0.7500 0.2500
Ga 0.0000 0.0000 0.5000
Ga 0.0000 0.5000 0.0000
Ga 0.5000 0.0000 0.0000
Ga 0.5000 0.5000 0.5000
Co 0.2500 0.2500 0.7500
Co 0.2500 0.7500 0.2500
Co 0.7500 0.2500 0.2500
Co 0.7500 0.7500 0.7500

Number 1: total DFT energy (no corrections) -2.871 eV per atom, V 93.8 Å³ per cell. Number 2: total DFT energy (no corrections) -0.811 eV per atom, V 138.3 Å³ per cell. Number 3: total DFT energy (no corrections) -5.996 eV per atom, V 410.0 Å³ per cell. Number 4: total DFT energy (no corrections) -4.109 eV per atom, V 81.5 Å³ per cell. Number 5: total DFT energy (no corrections) -2.966 eV per atom, V 90.5 Å³ per cell. Number 6: total DFT energy (no corrections) -3.665 eV per atom, V 197.3 Å³ per cell. Number 7: total DFT energy (no corrections) -1.966 eV per atom, V 118.6 Å³ per cell. Number 8: total DFT energy (no corrections) -5.940 eV per atom, V 357.7 Å³ per cell. Number 9: total DFT energy (no corrections) -3.992 eV per atom, V 298.3 Å³ per cell. Number 10: total DFT energy (no corrections) -5.669 eV per atom, V 116.7 Å³ per cell. Number 11: total DFT energy (no corrections) -7.718 eV per atom, V 239.7 Å³ per cell.